(1)
Entry from Alexandria via LeMat-Bulk: LiAsO4 after structural relaxation (PBE).

Unit cell a=6.1493 b=6.1493 c=4.5416 alpha=94.42 beta=94.42 gamma=46.51
Atoms (fractional coordinates):
Li (0.2127, 0.7873, 0.7500)
Li (0.7873, 0.2127, 0.2500)
As (0.0000, 0.5000, 0.0000)
As (0.5000, 0.0000, 0.5000)
O (0.0848, 0.1535, 0.9784)
O (0.1535, 0.0848, 0.4784)
O (0.3257, 0.3373, 0.7620)
O (0.3373, 0.3257, 0.2620)
O (0.6627, 0.6743, 0.7380)
O (0.6743, 0.6627, 0.2380)
O (0.8465, 0.9152, 0.5216)
O (0.9152, 0.8465, 0.0216)

## Properties
**Total moment**: 0.44 μB/f.u.
**Formation energy (no corrections)**: -816 meV/atom

***

(2)
Entry from Alexandria via LeMat-Bulk: MgP after structural relaxation (PBE).

Unit cell a=4.5036 b=4.5036 c=8.3199 alpha=90.00 beta=90.00 gamma=120.00
Atoms (fractional coordinates):
Mg (0.3333, 0.6667, 0.0845)
Mg (0.3333, 0.6667, 0.4155)
Mg (0.6667, 0.3333, 0.5845)
Mg (0.6667, 0.3333, 0.9155)
P (0.0000, 0.0000, 0.2500)
P (0.0000, 0.0000, 0.7500)
P (0.3333, 0.6667, 0.7500)
P (0.6667, 0.3333, 0.2500)

## Properties
**Total moment**: 0.00 μB/f.u.
**E above lowest polymorph**: 700 meV per atom
**Formation enthalpy at 0 K**: 0.18 eV/atom

***

(3)
Entry from Alexandria via LeMat-Bulk: Tl2FeI after structural relaxation (PBE).

Unit cell a=5.5999 b=5.5999 c=5.5999 alpha=60.00 beta=60.00 gamma=60.00
Atoms (fractional coordinates):
Tl (0.2500, 0.2500, 0.2500)
Tl (0.7500, 0.7500, 0.7500)
Fe (0.0000, 0.0000, 0.0000)
I (0.5000, 0.5000, 0.5000)

## Properties
**Total moment**: 2.97 μB/f.u.
**E above lowest polymorph**: 106 meV per atom
**Formation energy (no corrections)**: 600 meV/atom

***

(4)
Entry from Alexandria via LeMat-Bulk: EuSbAu4 after structural relaxation (PBE).

Unit cell a=5.7019 b=5.7019 c=5.7019 alpha=60.00 beta=60.00 gamma=60.00
Atoms (fractional coordinates):
Eu (0.0000, 0.0000, 0.0000)
Sb (0.7500, 0.7500, 0.7500)
Au (0.3749, 0.3749, 0.3749)
Au (0.3749, 0.3749, 0.8753)
Au (0.3749, 0.8753, 0.3749)
Au (0.8753, 0.3749, 0.3749)

## Properties
**Total moment**: 6.81 μB/f.u.
**Formation energy (no corrections)**: -417 meV/atom

***

(5)
Entry from Alexandria via LeMat-Bulk: LaTb4Nd2Sc after structural relaxation (PBE).

Unit cell a=5.9168 b=5.9168 c=7.4216 alpha=90.00 beta=90.00 gamma=90.00
Atoms (fractional coordinates):
La (0.0000, 0.0000, 0.0000)
Tb (0.0000, 0.5000, 0.2438)
Tb (0.0000, 0.5000, 0.7562)
Tb (0.5000, 0.0000, 0.2438)
Tb (0.5000, 0.0000, 0.7562)
Nd (0.0000, 0.0000, 0.5000)
Nd (0.5000, 0.5000, 0.5000)
Sc (0.5000, 0.5000, 0.0000)

## Properties
**Total moment**: 0.00 μB/f.u.
**Formation enthalpy at 0 K**: 0.13 eV/atom

***

(6)
Entry from Alexandria via LeMat-Bulk: Tb2ErTmAs4 after structural relaxation (PBE).

Unit cell a=7.1093 b=4.1074 c=7.1108 alpha=90.00 beta=109.47 gamma=90.00
Atoms (fractional coordinates):
Tb (0.0000, 0.0000, 0.0000)
Tb (0.0000, 0.5000, 0.5000)
Er (0.5000, 0.0000, 0.5000)
Tm (0.5000, 0.5000, 0.0000)
As (0.2545, 0.0000, 0.7520)
As (0.2540, 0.5000, 0.2508)
As (0.7455, 0.0000, 0.2480)
As (0.7460, 0.5000, 0.7492)

## Properties
**Total moment**: 0.00 μB/f.u.
**Formation enthalpy at 0 K**: -1.53 eV/atom

***

(7)
Entry from Alexandria via LeMat-Bulk: Al2SbOs after structural relaxation (PBE).

Unit cell a=4.6788 b=4.6788 c=6.4263 alpha=109.60 beta=109.60 gamma=38.50
Atoms (fractional coordinates):
Al (0.0000, 0.0000, 0.0000)
Al (0.1864, 0.1864, 0.6956)
Sb (0.8373, 0.8373, 0.3015)
Os (0.4582, 0.4582, 0.6713)

## Properties
**Total moment**: 0.00 μB/f.u.
**Formation energy (no corrections)**: -13 meV/atom

***

(8)
Entry from Alexandria via LeMat-Bulk: LiFe3S after structural relaxation (PBE).

Unit cell a=3.8617 b=3.8617 c=3.8617 alpha=90.00 beta=90.00 gamma=90.00
Atoms (fractional coordinates):
Li (0.0000, 0.0000, 0.0000)
Fe (0.0000, 0.0000, 0.5000)
Fe (0.0000, 0.5000, 0.0000)
Fe (0.5000, 0.0000, 0.0000)
S (0.5000, 0.5000, 0.5000)

## Properties
**Total moment**: 0.00 μB/f.u.
**E above lowest polymorph**: 1333 meV per atom
**Formation energy (no corrections)**: 1517 meV/atom